(1)
First-principles (GGA-PBE) data for a relaxed PrAlI crystal, as listed in Alexandria via LeMat-Bulk.

a b c (Å): 4.3908 4.3908 12.8074
angles (deg): 90.17 99.70 120.00
Atoms (fractional coordinates):
Pr  0.1137  0.5584  0.6721
Pr  0.8863  0.4416  0.3279
I  0.5548  0.2804  0.8352
I  0.4452  0.7196  0.1648
Al  0.3244  0.1621  0.4865
Al  0.6756  0.8379  0.5135

Results
* E_form (uncorrected): -0.951 eV per atom
* space-group type: C2/m
* V: 34.95 Å³ per atom
* E_tot: -25.9 eV for the cell shown

(2)
First-principles (GGA-PBE) data for a relaxed NdDyN crystal, as listed in Alexandria via LeMat-Bulk.

a b c (Å): 7.1494 3.4850 3.4850
angles (deg): 90.03 60.83 60.83
Atoms (fractional coordinates):
Nd  0.8944  0.7252  0.7252
N  0.3944  0.2253  0.2253
Dy  0.3944  0.7253  0.7253

Results
* E_form (uncorrected): -0.915 eV per atom
* E above lowest polymorph: 0.08 eV per formula unit
* space-group type: P4/mmm
* V: 20.96 Å³ per atom
* E_tot: -20.4 eV for the cell shown

(3)
First-principles (GGA-PBE) data for a relaxed NiAsCl3 crystal, as listed in Alexandria via LeMat-Bulk.

a b c (Å): 4.6019 4.6019 4.6019
angles (deg): 90.00 90.00 90.00
Atoms (fractional coordinates):
As  0.5000  0.5000  0.5000
Cl  0.0000  0.5000  0.0000
Cl  0.0000  0.0000  0.5000
Cl  0.5000  0.0000  0.0000
Ni  0.0000  0.0000  0.0000

Results
* E_form (uncorrected): 0.106 eV per atom
* E above lowest polymorph: 0.00 eV per formula unit
* space-group type: Pm-3m
* V: 19.49 Å³ per atom
* E_tot: -15.4 eV for the cell shown

(4)
First-principles (GGA-PBE) data for a relaxed Mg2CdSnCl8 crystal, as listed in Alexandria via LeMat-Bulk.

a b c (Å): 6.3803 6.1366 7.8527
angles (deg): 90.00 90.00 89.59
Atoms (fractional coordinates):
Cl  0.1835  0.7580  0.2349
Cl  0.3371  0.2841  0.0000
Cl  0.6629  0.7159  0.0000
Cl  0.8165  0.2420  0.2349
Cl  0.6521  0.7052  0.5000
Cl  0.3479  0.2948  0.5000
Cl  0.1835  0.7580  0.7651
Cl  0.8165  0.2420  0.7651
Cd  0.0000  0.0000  0.0000
Mg  0.5000  0.5000  0.7570
Mg  0.5000  0.5000  0.2430
Sn  0.0000  0.0000  0.5000

Results
* E_form (uncorrected): -1.396 eV per atom
* space-group type: P2/m
* V: 25.62 Å³ per atom
* E_tot: -39.6 eV for the cell shown

(5)
First-principles (GGA-PBE) data for a relaxed Pm3Ge crystal, as listed in Alexandria via LeMat-Bulk.

a b c (Å): 4.7815 4.7783 4.7773
angles (deg): 90.00 90.00 90.00
Atoms (fractional coordinates):
Ge  0.5000  0.0000  0.5830
Pm  0.0000  0.0000  0.0834
Pm  0.0000  0.5000  0.5834
Pm  0.5000  0.5000  0.0835

Results
* E_form: -0.345 eV per atom
* E above lowest polymorph: 0.44 eV per formula unit
* space-group type: Pm-3m
* V: 27.29 Å³ per atom
* E_tot: -20.2 eV for the cell shown

(6)
First-principles (GGA-PBE) data for a relaxed Ba3FeI crystal, as listed in Alexandria via LeMat-Bulk.

a b c (Å): 5.8656 5.8656 5.8656
angles (deg): 90.00 90.00 90.00
Atoms (fractional coordinates):
Ba  0.0000  0.5000  0.0000
Ba  0.5000  0.0000  0.0000
Ba  0.0000  0.0000  0.5000
Fe  0.0000  0.0000  0.0000
I  0.5000  0.5000  0.5000

Results
* E_form (uncorrected): 0.012 eV per atom
* E above lowest polymorph: 0.00 eV per formula unit
* space-group type: Pm-3m
* V: 40.36 Å³ per atom
* E_tot: -15.7 eV for the cell shown

(7)
First-principles (GGA-PBE) data for a relaxed NdYMg17 crystal, as listed in Alexandria via LeMat-Bulk.

a b c (Å): 7.7969 7.7969 7.7969
angles (deg): 82.20 82.20 82.20
Atoms (fractional coordinates):
Mg  0.3012  0.6973  0.0014
Mg  0.5020  0.9977  0.9977
Mg  0.1619  0.6459  0.6459
Mg  0.6973  0.3012  0.0014
Mg  0.3012  0.0014  0.6973
Mg  0.6459  0.1619  0.6459
Mg  0.6459  0.6459  0.1619
Mg  0.3525  0.3525  0.8423
Mg  0.0014  0.6973  0.3012
Mg  0.9977  0.9977  0.5020
Mg  0.9020  0.9020  0.9020
Mg  0.0014  0.3012  0.6973
Mg  0.3525  0.8423  0.3525
Mg  0.6973  0.0014  0.3012
Mg  0.8423  0.3525  0.3525
Mg  0.9977  0.5020  0.9977
Mg  0.1007  0.1007  0.1007
Nd  0.6700  0.6700  0.6700
Y  0.3290  0.3290  0.3290

Results
* E_form: -0.039 eV per atom
* space-group type: R3m
* V: 24.31 Å³ per atom
* E_tot: -39.1 eV for the cell shown

(8)
First-principles (GGA-PBE) data for a relaxed V3SiHg crystal, as listed in Alexandria via LeMat-Bulk.

a b c (Å): 4.4659 4.4659 4.4659
angles (deg): 90.00 90.00 90.00
Last column: magnetic moment on the atom in μB.
Atoms (fractional coordinates):
Si  0.0000  0.0000  0.0000  -0.05
Hg  0.5000  0.5000  0.5000  -0.02
V  0.5000  0.0000  0.0000  1.04
V  0.0000  0.0000  0.5000  1.04
V  0.0000  0.5000  0.0000  1.04

Results
* E_form (uncorrected): 0.650 eV per atom
* E above lowest polymorph: 0.00 eV per formula unit
* space-group type: Pm-3m
* V: 17.81 Å³ per atom
* E_tot: -29.8 eV for the cell shown

(9)
First-principles (GGA-PBE) data for a relaxed LiPrP2Rh crystal, as listed in Alexandria via LeMat-Bulk.

a b c (Å): 4.0314 4.0314 5.8036
angles (deg): 110.32 110.32 90.00
Atoms (fractional coordinates):
Rh  0.7500  0.2500  0.5000
Pr  0.0000  0.0000  0.0000
Li  0.2500  0.7500  0.5000
P  0.6161  0.6161  0.2323
P  0.3839  0.3839  0.7677

Results
* E_form: -1.063 eV per atom
* space-group type: I-4m2
* V: 16.43 Å³ per atom
* E_tot: -30.2 eV for the cell shown

(10)
First-principles (GGA-PBE) data for a relaxed HfScTc2 crystal, as listed in Alexandria via LeMat-Bulk.

a b c (Å): 7.1850 7.1850 5.8170
angles (deg): 51.86 51.86 90.00
Atoms (fractional coordinates):
Sc  0.5000  0.5000  0.0000
Sc  0.2500  0.7500  0.5000
Hf  0.0000  0.0000  0.0000
Hf  0.7500  0.2500  0.5000
Tc  0.3750  0.3737  0.7500
Tc  0.1237  0.6250  0.2500
Tc  0.8750  0.8763  0.7500
Tc  0.6263  0.1250  0.2500

Results
* E_form: 0.384 eV per atom
* space-group type: I-42d
* V: 18.28 Å³ per atom
* E_tot: -71.0 eV for the cell shown

(11)
First-principles (GGA-PBE) data for a relaxed Na4Er2Ir3O12 crystal, as listed in Alexandria via LeMat-Bulk.

a b c (Å): 9.4592 9.4592 3.1874
angles (deg): 90.00 90.00 120.00
Atoms (fractional coordinates):
O  0.8015  0.8015  0.5000
O  0.5404  0.5404  0.5000
O  0.2438  0.4634  0.0000
O  0.4596  0.0000  0.5000
O  0.5366  0.7804  0.0000
O  0.7562  0.2196  0.0000
O  0.2196  0.7562  0.0000
O  0.0000  0.1985  0.5000
O  0.4634  0.2438  0.0000
O  0.7804  0.5366  0.0000
O  0.1985  0.0000  0.5000
O  0.0000  0.4596  0.5000
Na  0.0000  0.6984  0.5000
Na  0.0000  0.0000  0.0000
Na  0.6984  0.0000  0.5000
Na  0.3016  0.3016  0.5000
Er  0.6667  0.3333  0.5000
Er  0.3333  0.6667  0.5000
Ir  0.6678  0.6678  0.0000
Ir  0.3322  0.0000  0.0000
Ir  0.0000  0.3322  0.0000

Results
* E_form (uncorrected): -1.714 eV per atom
* space-group type: P-62m
* V: 11.76 Å³ per atom
* E_tot: -136.5 eV for the cell shown

(12)
First-principles (GGA-PBE) data for a relaxed EuDyPb2 crystal, as listed in Alexandria via LeMat-Bulk.

a b c (Å): 5.5471 5.5471 5.5471
angles (deg): 60.00 60.00 60.00
Last column: magnetic moment on the atom in μB.
Atoms (fractional coordinates):
Pb  0.7500  0.7500  0.7500  -0.01
Pb  0.2500  0.2500  0.2500  -0.01
Dy  0.0000  0.0000  0.0000  0.03
Eu  0.5000  0.5000  0.5000  6.82

Results
* E_form: -0.430 eV per atom
* E above lowest polymorph: 0.16 eV per formula unit
* space-group type: Fm-3m
* V: 30.17 Å³ per atom
* E_tot: -24.0 eV for the cell shown

M_tot (μB per atom)
0.00, 0.00, 0.00, 0.00, 0.00, 0.00, 0.00, 0.68, 0.00, 0.00, 0.00, 1.76